Entry from Alexandria via LeMat-Bulk: a crystal of TiSbW2F relaxed with PBEsol (meta-GGA SCAN). Values from VASP.

Structure (Quantum ESPRESSO input):
```
&SYSTEM
  ibrav = 0, nat = 5, ntyp = 4
/
ATOMIC_SPECIES
F 19.00 F.upf
W 183.84 W.upf
Ti 47.87 Ti.upf
Sb 121.76 Sb.upf
CELL_PARAMETERS angstrom
-1.503 -2.591 -2.847
2.622 -3.092 1.430
-3.027 -1.287 2.768
ATOMIC_POSITIONS angstrom
F 0.000 0.000 0.000
W -1.513 -0.643 1.384
W 1.311 -1.546 0.715
Ti -0.751 -1.296 -1.424
Sb -0.953 -3.485 0.675
```

**Formation energy (no corrections)**: 2.3 eV/f.u.

***

Entry from Alexandria via LeMat-Bulk: a crystal of Sb3WF relaxed with PBEsol (meta-GGA SCAN). Values from VASP.

Structure (Quantum ESPRESSO input):
```
&SYSTEM
  ibrav = 0, nat = 5, ntyp = 3
/
ATOMIC_SPECIES
Sb 121.76 Sb.upf
W 183.84 W.upf
F 19.00 F.upf
CELL_PARAMETERS angstrom
5.127 0.000 0.000
0.000 5.127 0.000
0.000 0.000 5.127
ATOMIC_POSITIONS angstrom
Sb 0.000 2.564 0.000
Sb 2.564 0.000 0.000
W 0.000 0.000 0.000
Sb 0.000 0.000 2.564
F 2.564 2.564 2.564
```

**Formation energy (no corrections)**: 1.0 eV/f.u.

***

Entry from Alexandria via LeMat-Bulk: a crystal of Y2SbF2 relaxed with PBEsol (meta-GGA SCAN). Values from VASP.

Structure (Quantum ESPRESSO input):
```
&SYSTEM
  ibrav = 0, nat = 5, ntyp = 3
/
ATOMIC_SPECIES
F 19.00 F.upf
Sb 121.76 Sb.upf
Y 88.91 Y.upf
CELL_PARAMETERS angstrom
4.591 0.000 0.000
0.000 4.591 0.000
-2.295 -2.295 4.545
ATOMIC_POSITIONS angstrom
F 2.295 2.295 1.552
Sb 0.000 0.000 0.000
Y 0.000 2.295 2.273
F 0.000 0.000 2.993
Y 2.295 0.000 2.273
```

**Formation energy (no corrections)**: -12.3 eV/f.u.

***

Entry from Alexandria via LeMat-Bulk: a crystal of Y5Sb3F relaxed with PBEsol (meta-GGA SCAN). Values from VASP.

Structure (Quantum ESPRESSO input):
```
&SYSTEM
  ibrav = 0, nat = 18, ntyp = 3
/
ATOMIC_SPECIES
Y 88.91 Y.upf
Sb 121.76 Sb.upf
F 19.00 F.upf
CELL_PARAMETERS angstrom
-3.184 -4.796 2.212
3.206 1.608 8.103
-7.560 3.814 -2.611
ATOMIC_POSITIONS angstrom
Y -1.906 0.184 1.953
Sb -0.427 -2.613 6.616
Y -4.316 -2.625 0.993
Y -5.632 0.442 5.750
Y -0.383 2.344 4.532
Y -6.428 1.642 -1.392
Sb -4.078 -1.492 3.790
Y -1.570 -3.187 3.725
Sb 0.448 -0.575 3.698
Y -1.975 -0.055 5.637
Sb -3.731 0.281 -0.461
Y -3.971 3.079 0.960
F -1.592 -2.398 1.106
Y 1.592 -0.001 6.589
Sb -7.013 -1.264 0.061
Y -5.563 0.681 2.066
F 0.000 0.000 0.000
Sb -3.460 2.119 3.913
```

**Formation energy (no corrections)**: -13.5 eV/f.u.

***

Entry from Alexandria via LeMat-Bulk: a crystal of ScF3 relaxed with PBEsol (meta-GGA SCAN). Values from VASP.

Structure (Quantum ESPRESSO input):
```
&SYSTEM
  ibrav = 0, nat = 4, ntyp = 2
/
ATOMIC_SPECIES
Sc 44.96 Sc.upf
F 19.00 F.upf
CELL_PARAMETERS angstrom
4.023 0.000 0.000
0.000 4.023 0.000
0.000 0.000 4.023
ATOMIC_POSITIONS angstrom
Sc 0.000 0.000 0.000
F 0.000 2.012 0.000
F 2.012 0.000 0.000
F 0.000 0.000 2.012
```

**Formation energy (no corrections)**: -16.8 eV/f.u.

***

Entry from Alexandria via LeMat-Bulk: a crystal of ScF3 relaxed with PBEsol (meta-GGA SCAN). Values from VASP.

Structure (Quantum ESPRESSO input):
```
&SYSTEM
  ibrav = 0, nat = 8, ntyp = 2
/
ATOMIC_SPECIES
F 19.00 F.upf
Sc 44.96 Sc.upf
CELL_PARAMETERS angstrom
5.679 0.005 0.004
2.837 4.920 0.004
2.837 1.641 4.638
ATOMIC_POSITIONS angstrom
F 7.030 2.502 3.590
F 4.322 4.063 1.056
F 4.191 2.576 3.480
F 5.675 4.997 3.375
F 7.162 3.990 1.165
F 5.677 1.568 1.271
Sc 0.000 0.000 0.000
Sc 5.676 3.283 2.323
```

**Formation energy (no corrections)**: -16.8 eV/f.u.